i:
DFT (PBE-GGA) results for a geometry-optimized PbWCl2 structure.

Properties
- space group = P2/m (10)
- total magnetization (Bohr magnetons per cell) = 1.3

Cell: 3.418 4.348 5.731 Å, 90.00 99.76 90.00°
Fractional coordinates of all 4 atoms:
Pb: 0.000 0.000 0.000
W: 0.500 0.000 0.500
Cl: 0.373 0.500 0.717
Cl: 0.627 0.500 0.283

---

ii:
DFT (PBE-GGA) results for a geometry-optimized PbWCl2 structure.

Properties
- space group = Pmm2 (25)
- total magnetization (Bohr magnetons per cell) = 0.0

Cell: 3.020 3.943 7.465 Å, 90.00 90.00 90.00°
Fractional coordinates of all 4 atoms:
Pb: 0.000 0.000 0.000
W: 0.500 0.500 0.314
Cl: 0.000 0.000 0.409
Cl: 0.500 0.500 0.637

---

iii:
DFT (PBE-GGA) results for a geometry-optimized PbWCl2 structure.

Properties
- space group = F-43m (216)
- total magnetization (Bohr magnetons per cell) = 4.0

Cell: 5.047 5.047 5.047 Å, 60.00 60.00 60.00°
Fractional coordinates of all 4 atoms:
Pb: 0.000 0.000 0.000
W: 0.750 0.750 0.750
Cl: 0.250 0.250 0.250
Cl: 0.500 0.500 0.500

---

Quick one: least stable of them? iii

---

i:
DFT (PBE-GGA) results for a geometry-optimized PbWCl2 structure.

Properties
- space group = Cmmm (65)
- total magnetization (Bohr magnetons per cell) = 2.0

Cell: 5.459 5.459 3.074 Å, 90.00 90.00 109.09°
Fractional coordinates of all 4 atoms:
Pb: 0.000 0.000 0.000
W: 0.500 0.500 0.000
Cl: 0.000 0.500 0.500
Cl: 0.500 0.000 0.500

---

ii:
DFT (PBE-GGA) results for a geometry-optimized PbWCl2 structure.

Properties
- space group = P4/mmm (123)
- total magnetization (Bohr magnetons per cell) = 1.3

Cell: 5.103 5.103 3.172 Å, 90.00 90.00 90.00°
Fractional coordinates of all 4 atoms:
Pb: 0.000 0.000 0.000
W: 0.500 0.500 0.000
Cl: 0.000 0.500 0.500
Cl: 0.500 0.000 0.500

---

Quick one: least stable of them? ii

---

i:
DFT (PBE-GGA) results for a geometry-optimized PbWCl2 structure.

Properties
- space group = P4/mmm (123)
- total magnetization (Bohr magnetons per cell) = 0.0

Cell: 3.070 3.070 10.423 Å, 90.00 90.00 90.00°
Fractional coordinates of all 4 atoms:
Pb: 0.000 0.000 0.000
W: 0.000 0.000 0.500
Cl: 0.500 0.500 0.358
Cl: 0.500 0.500 0.642

---

ii:
DFT (PBE-GGA) results for a geometry-optimized PbWCl2 structure.

Properties
- space group = I4/mmm (139)
- total magnetization (Bohr magnetons per cell) = 3.0

Cell: 5.499 5.499 5.499 Å, 132.07 132.07 70.12°
Fractional coordinates of all 4 atoms:
Pb: 0.000 0.000 0.000
W: 0.500 0.500 0.000
Cl: 0.250 0.750 0.500
Cl: 0.750 0.250 0.500

---

iii:
DFT (PBE-GGA) results for a geometry-optimized PbWCl2 structure.

Properties
- space group = R-3m (166)
- total magnetization (Bohr magnetons per cell) = 0.0

Cell: 11.620 11.620 11.620 Å, 15.71 15.71 15.71°
Fractional coordinates of all 4 atoms:
Pb: 0.000 0.000 0.000
W: 0.500 0.500 0.500
Cl: 0.217 0.217 0.217
Cl: 0.783 0.783 0.783

---

Quick one: least stable of them? ii

---

i:
DFT (PBE-GGA) results for a geometry-optimized PbWCl3 structure.

Properties
- space group = Pm-3m (221)
- total magnetization (Bohr magnetons per cell) = 5.1

Cell: 5.589 5.589 5.589 Å, 90.00 90.00 90.00°
Fractional coordinates of all 5 atoms:
Pb: 0.000 0.000 0.000
W: 0.500 0.500 0.500
Cl: 0.000 0.000 0.500
Cl: 0.000 0.500 0.000
Cl: 0.500 0.000 0.000

---

ii:
DFT (PBE-GGA) results for a geometry-optimized PbWCl3 structure.

Properties
- space group = Pm-3m (221)
- total magnetization (Bohr magnetons per cell) = 2.2

Cell: 4.958 4.958 4.958 Å, 90.00 90.00 90.00°
Fractional coordinates of all 5 atoms:
Pb: 0.000 0.000 0.000
W: 0.500 0.500 0.500
Cl: 0.000 0.500 0.500
Cl: 0.500 0.000 0.500
Cl: 0.500 0.500 0.000

---

Quick one: least stable of them? i

---

i:
DFT (PBE-GGA) results for a geometry-optimized YPbCl2 structure.

Properties
- space group = Cmmm (65)
- total magnetization (Bohr magnetons per cell) = 0.0

Cell: 5.633 5.633 3.404 Å, 90.00 90.00 108.85°
Fractional coordinates of all 4 atoms:
Y: 0.000 0.000 0.000
Pb: 0.500 0.500 0.000
Cl: 0.000 0.500 0.500
Cl: 0.500 0.000 0.500

---

ii:
DFT (PBE-GGA) results for a geometry-optimized YPbCl2 structure.

Properties
- space group = R-3m (166)
- total magnetization (Bohr magnetons per cell) = 0.3

Cell: 11.204 11.204 11.204 Å, 18.39 18.39 18.39°
Fractional coordinates of all 4 atoms:
Y: 0.000 0.000 0.000
Pb: 0.500 0.500 0.500
Cl: 0.280 0.280 0.280
Cl: 0.720 0.720 0.720

---

iii:
DFT (PBE-GGA) results for a geometry-optimized YPbCl2 structure.

Properties
- space group = Cm (8)
- total magnetization (Bohr magnetons per cell) = 0.0

Cell: 5.914 5.914 6.067 Å, 113.57 113.57 36.12°
Fractional coordinates of all 4 atoms:
Y: 0.000 0.000 0.000
Pb: 0.277 0.277 0.537
Cl: 0.450 0.450 0.278
Cl: 0.653 0.653 0.911

---

iv:
DFT (PBE-GGA) results for a geometry-optimized YPbCl2 structure.

Properties
- space group = I-42d (122)
- total magnetization (Bohr magnetons per cell) = 0.0

Cell: 10.172 10.172 10.172 Å, 152.82 152.82 38.81°
Fractional coordinates of all 8 atoms:
Y: 0.000 0.000 0.000
Y: 0.750 0.250 0.500
Pb: 0.250 0.750 0.500
Pb: 0.500 0.500 0.000
Cl: 0.090 0.625 0.965
Cl: 0.375 0.340 0.465
Cl: 0.660 0.125 0.035
Cl: 0.875 0.910 0.535

---

Quick one: least stable of them? i

---

i:
DFT (PBE-GGA) results for a geometry-optimized YPb2Cl structure.

Properties
- space group = Fm-3m (225)
- total magnetization (Bohr magnetons per cell) = 0.0

Cell: 5.470 5.470 5.470 Å, 60.00 60.00 60.00°
Fractional coordinates of all 4 atoms:
Y: 0.000 0.000 0.000
Pb: 0.250 0.250 0.250
Pb: 0.750 0.750 0.750
Cl: 0.500 0.500 0.500

---

ii:
DFT (PBE-GGA) results for a geometry-optimized YPb2Cl structure.

Properties
- space group = Imm2 (44)
- total magnetization (Bohr magnetons per cell) = 0.0

Cell: 6.548 6.548 6.548 Å, 148.76 127.29 62.56°
Fractional coordinates of all 4 atoms:
Y: 0.000 0.000 0.000
Pb: 0.258 0.758 0.500
Pb: 0.527 0.527 0.000
Cl: 0.816 0.316 0.500

---

Quick one: least stable of them? i